The following is a DFT calculation (PBE) of a relaxed structure of ZnTe2CN.

Unit cell a=6.6664 b=6.6664 c=2.6150 alpha=90.00 beta=90.00 gamma=90.00
Last column: nearest neighbours and their distance in Å.
Fractional coordinates of all 5 atoms:
N: 0.0000 0.0000 0.5000  2 C 1.31
C: 0.0000 0.0000 0.0000  2 N 1.31
Zn: 0.5000 0.5000 0.5000  2 Zn 2.61
Te: 0.0000 0.5000 0.0000  2 Te 2.61
Te: 0.5000 0.0000 0.0000  2 Te 2.61

Values from the calculation:
Volume: 116.2 Å³/f.u.
Energy relative to the lowest polymorph listed for this composition: 0.000 eV/f.u.
Electronic total energy: -21.0 eV/cell
Formation energy (no corrections): 79 kJ/mol of atoms
Space-group type: P4/mmm (123)
Total magnetization: 0.00 μB/cell